VASP calculation (PBE) on a geometry-optimized DyMgN structure.

The calculation puts the energy relative to the elements, uncorrected at -633.9 meV per atom.

Structure (POSCAR):
```
DyMgN
1.0
5.840 0.000 0.000
0.000 3.328 0.000
0.000 0.000 13.224
Dy Mg N
4 4 4
direct
0.211 0.250 0.059
0.289 0.750 0.559
0.711 0.250 0.441
0.789 0.750 0.941
0.226 0.750 0.828
0.274 0.250 0.328
0.726 0.750 0.672
0.774 0.250 0.172
0.034 0.250 0.904
0.466 0.750 0.404
0.534 0.250 0.596
0.966 0.750 0.096
```



VASP calculation (PBE) on a geometry-optimized Dy2MgN structure.

The calculation puts the energy relative to the elements, uncorrected at -635.6 meV per atom.

Structure (POSCAR):
```
Dy2MgN
1.0
3.421 0.000 0.000
-1.710 2.962 0.000
0.000 0.000 27.696
Dy Mg N
6 3 3
direct
0.000 0.000 0.119
0.000 0.000 0.881
0.333 0.667 0.548
0.333 0.667 0.785
0.667 0.333 0.215
0.667 0.333 0.452
0.000 0.000 0.000
0.333 0.667 0.667
0.667 0.333 0.333
0.000 0.000 0.500
0.333 0.667 0.167
0.667 0.333 0.833
```



VASP calculation (PBE) on a geometry-optimized Dy2MgNpN4 structure.

The calculation puts the energy relative to the elements, uncorrected at -1312.8 meV per atom.

Structure (POSCAR):
```
Dy2MgNpN4
1.0
5.769 0.000 0.000
0.000 3.445 0.000
-1.782 0.000 5.572
Dy Mg Np N
2 1 1 4
direct
0.000 0.000 0.000
0.500 0.500 0.000
0.000 0.500 0.500
0.500 0.000 0.500
0.251 0.500 0.258
0.266 0.000 0.736
0.734 0.000 0.264
0.749 0.500 0.742
```